The following is a PBE calculation of crystalline Ca2CdInRh at its relaxed geometry, from Alexandria via LeMat-Bulk.

Properties
**Formation energy from the elements**: -286 meV per atom
**Spin magnetization**: 0.00 μB/cell

a b c (Å): 5.417 5.417 5.164
angles (deg): 90.00 90.00 90.00
Space group P4/mmm (No. 123)
Unique sites:
Ca: 0.000 0.500 0.000 (multiplicity 2)
Cd: 0.000 0.000 0.500 (multiplicity 1)
In: 0.500 0.500 0.500 (multiplicity 1)
Rh: 0.500 0.500 0.000 (multiplicity 1)